Entry 1:
VASP calculation (PBE) on a relaxed structure of K2SrCdCl6.

```
data_K2SrCdCl6
_chemical_formula_sum 'K2 Sr1 Cd1 Cl6'
_symmetry_space_group_name_H-M 'P 1'
_symmetry_Int_Tables_number 1
_symmetry_space_group_name_Hall 'P 1'
_cell_length_a 5.7780
_cell_length_b 7.6377
_cell_length_c 7.6377
_cell_angle_alpha 90.00
_cell_angle_beta 90.00
_cell_angle_gamma 90.00
loop_
_atom_site_label
_atom_site_fract_x
_atom_site_fract_y
_atom_site_fract_z
K1 0.0252 0.5000 0.0000
K2 0.0252 0.0000 0.5000
Sr1 0.6380 0.5000 0.5000
Cd1 0.6127 0.0000 0.0000
Cl1 0.7050 0.2383 0.2383
Cl2 0.7050 0.2383 0.7617
Cl3 0.1479 0.5000 0.5000
Cl4 0.1776 0.0000 0.0000
Cl5 0.7050 0.7617 0.7617
Cl6 0.7050 0.7617 0.2383
```

Calculated values
DOS(E_F), states/eV/cell: 0.00
Formation energy (no corrections), eV per atom: -1.81
SG: P4mm (99)
Total energy, eV/atom: -3.3960
Crystal system: tetragonal

***

Entry 2:
VASP calculation (PBE) on a relaxed structure of LiDy5Al3.

```
data_LiDy5Al3
_chemical_formula_sum 'Li2 Dy10 Al6'
_symmetry_space_group_name_H-M 'P 1'
_symmetry_Int_Tables_number 1
_symmetry_space_group_name_Hall 'P 1'
_cell_length_a 6.5110
_cell_length_b 9.0084
_cell_length_c 9.0082
_cell_angle_alpha 120.00
_cell_angle_beta 90.00
_cell_angle_gamma 90.00
loop_
_atom_site_label
_atom_site_fract_x
_atom_site_fract_y
_atom_site_fract_z
Li1 0.0000 0.0000 0.0000
Li2 0.5000 0.0000 0.0000
Dy1 0.0000 0.6667 0.3333
Dy2 0.5000 0.3333 0.6667
Dy3 0.0000 0.3333 0.6667
Dy4 0.5000 0.6667 0.3333
Dy5 0.7500 0.6928 0.6928
Dy6 0.7500 0.0000 0.3072
Dy7 0.7500 0.3072 0.0000
Dy8 0.2500 0.3072 0.3072
Dy9 0.2500 0.0000 0.6928
Dy10 0.2500 0.6928 0.0000
Al1 0.7500 0.3536 0.3536
Al2 0.7500 0.0000 0.6464
Al3 0.7500 0.6464 0.0000
Al4 0.2500 0.6464 0.6464
Al5 0.2500 0.0000 0.3536
Al6 0.2500 0.3536 0.0000
```

Calculated values
DOS(E_F), states/eV/cell: 12.02
SG: P6_3/mcm (193)
Total energy, eV/atom: -4.2620
Crystal system: hexagonal
ΔE_f, eV per atom: -0.25

***

Entry 3:
VASP calculation (PBE) on a relaxed structure of TbHoMnPd.

```
data_TbHoMnPd
_chemical_formula_sum 'Tb1 Ho1 Mn1 Pd1'
_symmetry_space_group_name_H-M 'P 1'
_symmetry_Int_Tables_number 1
_symmetry_space_group_name_Hall 'P 1'
_cell_length_a 4.9829
_cell_length_b 4.9829
_cell_length_c 4.9829
_cell_angle_alpha 60.00
_cell_angle_beta 60.00
_cell_angle_gamma 60.00
loop_
_atom_site_label
_atom_site_fract_x
_atom_site_fract_y
_atom_site_fract_z
Mn1 0.5000 0.5000 0.5000
Tb1 0.7500 0.7500 0.7500
Ho1 0.2500 0.2500 0.2500
Pd1 0.0000 0.0000 0.0000
```

Calculated values
DOS(E_F), states/eV/cell: 4.64
SG: F-43m (216)
Total energy, eV/atom: -6.1610
Crystal system: cubic
ΔE_f, eV per atom: -0.27

***

Entry 4:
VASP calculation (PBE) on a relaxed structure of Sm2Dy2Sc3.

```
data_Sm2Dy2Sc3
_chemical_formula_sum 'Sm4 Dy4 Sc6'
_symmetry_space_group_name_H-M 'P 1'
_symmetry_Int_Tables_number 1
_symmetry_space_group_name_Hall 'P 1'
_cell_length_a 6.2358
_cell_length_b 5.5054
_cell_length_c 12.0702
_cell_angle_alpha 90.00
_cell_angle_beta 90.00
_cell_angle_gamma 91.93
loop_
_atom_site_label
_atom_site_fract_x
_atom_site_fract_y
_atom_site_fract_z
Sm1 0.6589 0.4618 0.8203
Sm2 0.1589 0.4618 0.6797
Sm3 0.8411 0.5382 0.3203
Sm4 0.3411 0.5382 0.1797
Dy1 0.4958 0.9662 0.6552
Dy2 0.9958 0.9662 0.8448
Dy3 0.0042 0.0338 0.1552
Dy4 0.5042 0.0338 0.3448
Sc1 0.0000 0.0000 0.5000
Sc2 0.5000 0.0000 0.0000
Sc3 0.7893 0.5280 0.0557
Sc4 0.7107 0.4720 0.5557
Sc5 0.2893 0.5280 0.4443
Sc6 0.2107 0.4720 0.9443
```

Calculated values
DOS(E_F), states/eV/cell: 22.72
ΔE to the lowest computed polymorph, meV/atom: 0
SG: P2_1/c (14)
Total energy, eV/atom: -5.2118
Crystal system: monoclinic
ΔE_f, eV per atom: 0.16

***

Entry 5:
VASP calculation (PBE) on a relaxed structure of Y3RuSe.

```
data_Y3RuSe
_chemical_formula_sum 'Y3 Ru1 Se1'
_symmetry_space_group_name_H-M 'P 1'
_symmetry_Int_Tables_number 1
_symmetry_space_group_name_Hall 'P 1'
_cell_length_a 5.3128
_cell_length_b 5.3128
_cell_length_c 5.3128
_cell_angle_alpha 90.00
_cell_angle_beta 90.00
_cell_angle_gamma 90.00
loop_
_atom_site_label
_atom_site_fract_x
_atom_site_fract_y
_atom_site_fract_z
Y1 0.0000 0.5000 0.0000
Y2 0.0000 0.0000 0.5000
Y3 0.5000 0.0000 0.0000
Ru1 0.0000 0.0000 0.0000
Se1 0.5000 0.5000 0.5000
```

Calculated values
DOS(E_F), states/eV/cell: 3.68
ΔE to the lowest computed polymorph, meV/atom: 511
Formation energy (no corrections), eV per atom: -0.31
SG: Pm-3m (221)
Total energy, eV/atom: -6.7405
Crystal system: cubic

***

Entry 6:
VASP calculation (PBE) on a relaxed structure of Rb4HgF5.

```
data_Rb4HgF5
_chemical_formula_sum 'Rb4 Hg1 F5'
_symmetry_space_group_name_H-M 'P 1'
_symmetry_Int_Tables_number 1
_symmetry_space_group_name_Hall 'P 1'
_cell_length_a 5.6328
_cell_length_b 6.9583
_cell_length_c 6.9583
_cell_angle_alpha 80.57
_cell_angle_beta 66.12
_cell_angle_gamma 66.12
loop_
_atom_site_label
_atom_site_fract_x
_atom_site_fract_y
_atom_site_fract_z
Rb1 0.4025 0.4001 0.8043
Rb2 0.8027 0.8043 0.5999
Rb3 0.2068 0.1957 0.4001
Rb4 0.6070 0.5999 0.1957
Hg1 0.0118 0.0000 0.0000
F1 0.9082 0.3907 0.8010
F2 0.2989 0.8010 0.6093
F3 0.7092 0.1990 0.3907
F4 0.1000 0.6093 0.1990
F5 0.4633 0.0000 0.0000
```

Calculated values
DOS(E_F), states/eV/cell: 2.20
Formation energy (no corrections), eV per atom: -2.28
SG: I4 (79)
Total energy, eV/atom: -3.6342
Crystal system: tetragonal

***

Entry 7:
VASP calculation (PBE) on a relaxed structure of CdCu2Tc.

```
data_CdCu2Tc
_chemical_formula_sum 'Cd1 Cu2 Tc1'
_symmetry_space_group_name_H-M 'P 1'
_symmetry_Int_Tables_number 1
_symmetry_space_group_name_Hall 'P 1'
_cell_length_a 5.2167
_cell_length_b 5.2167
_cell_length_c 4.8454
_cell_angle_alpha 66.98
_cell_angle_beta 66.98
_cell_angle_gamma 29.08
loop_
_atom_site_label
_atom_site_fract_x
_atom_site_fract_y
_atom_site_fract_z
Cd1 0.7437 0.7437 0.8222
Cu1 0.9867 0.9867 0.9410
Cu2 0.2586 0.2586 0.3192
Tc1 0.5110 0.5110 0.4176
```

Calculated values
DOS(E_F), states/eV/cell: 2.24
SG: Cm (8)
Total energy, eV/atom: -4.5728
Crystal system: monoclinic
ΔE_f, eV per atom: 0.30

***

Entry 8:
VASP calculation (PBE) on a relaxed structure of Ce2TeO.

```
data_Ce2TeO
_chemical_formula_sum 'Ce8 Te4 O4'
_symmetry_space_group_name_H-M 'P 1'
_symmetry_Int_Tables_number 1
_symmetry_space_group_name_Hall 'P 1'
_cell_length_a 6.4255
_cell_length_b 6.4424
_cell_length_c 10.4745
_cell_angle_alpha 94.94
_cell_angle_beta 90.00
_cell_angle_gamma 90.00
loop_
_atom_site_label
_atom_site_fract_x
_atom_site_fract_y
_atom_site_fract_z
Ce1 0.7585 0.9796 0.9252
Ce2 0.2415 0.0204 0.0748
Ce3 0.7585 0.5204 0.5748
Ce4 0.2415 0.4796 0.4252
Ce5 0.7890 0.4683 0.1752
Ce6 0.2110 0.5317 0.8248
Ce7 0.7890 0.0317 0.3248
Ce8 0.2110 0.9683 0.6752
Te1 0.2858 0.9821 0.3738
Te2 0.7142 0.0179 0.6262
Te3 0.2858 0.5179 0.1262
Te4 0.7142 0.4821 0.8738
O1 0.1009 0.6201 0.6183
O2 0.8991 0.3799 0.3817
O3 0.1009 0.8799 0.8817
O4 0.8991 0.1201 0.1183
```

Calculated values
DOS(E_F), states/eV/cell: 44.86
ΔE to the lowest computed polymorph, meV/atom: 77
Formation energy (no corrections), eV per atom: -1.86
SG: P2/c (13)
Total energy, eV/atom: -6.8567
Crystal system: monoclinic